# 1
The following is a SCAN calculation of a PBEsol-optimized structure of ZrTlGaF2, from the Alexandria database.

Summary:
Energy   -27.089 eV per atom
Raw formation energy   -8.96 eV per formula unit
Calculated volume   19.65 Å³ per atom
Total magnetic moment   0.0000 μB/atom

Structure (POSCAR):
```
ZrTlGaF2
1.0
-0.118 0.390 -4.132
3.374 -2.398 -0.323
-3.317 -4.620 -0.342
Tl Ga Zr F
1 1 1 2
Direct
0.500 0.500 0.500
0.000 0.000 0.500
0.000 0.000 0.000
0.000 0.500 0.000
0.500 0.000 0.000
```

---

# 2
The following is a SCAN calculation of a PBEsol-optimized structure of Li2ZnI4, from the Alexandria database.

Summary:
Energy   -24.620 eV per atom
Raw formation energy   -7.08 eV per formula unit
Calculated volume   30.37 Å³ per atom
Total magnetic moment   0.0000 μB/atom

Structure (POSCAR):
```
Li2ZnI4
1.0
6.915 0.000 0.000
0.000 8.424 0.000
0.000 0.000 14.597
Li Zn I
8 4 16
Direct
0.000 0.000 0.000
0.500 0.000 0.500
0.000 0.500 0.000
0.500 0.500 0.500
0.002 0.250 0.262
0.502 0.750 0.238
0.998 0.750 0.738
0.498 0.250 0.762
0.401 0.250 0.086
0.901 0.750 0.414
0.599 0.750 0.914
0.099 0.250 0.586
0.774 0.250 0.089
0.274 0.750 0.411
0.226 0.750 0.911
0.726 0.250 0.589
0.252 0.250 0.422
0.752 0.750 0.078
0.748 0.750 0.578
0.248 0.250 0.922
0.245 0.005 0.167
0.745 0.995 0.333
0.755 0.505 0.833
0.255 0.495 0.667
0.755 0.995 0.833
0.255 0.005 0.667
0.245 0.495 0.167
0.745 0.505 0.333
```

---

# 3
The following is a SCAN calculation of a PBEsol-optimized structure of K4NaCl5, from the Alexandria database.

Summary:
Energy   -9.883 eV per atom
Raw formation energy   -21.41 eV per formula unit
Calculated volume   28.51 Å³ per atom
Total magnetic moment   0.0040 μB/atom

Structure (POSCAR):
```
K4NaCl5
1.0
-1.172 3.636 2.006
-3.962 1.605 -0.584
-7.573 -7.720 14.208
K Na Cl
4 1 5
Direct
0.604 0.604 0.188
0.201 0.201 0.396
0.799 0.799 0.604
0.396 0.396 0.812
0.000 0.000 0.000
0.694 0.694 0.917
0.500 0.500 0.500
0.097 0.097 0.709
0.306 0.306 0.083
0.903 0.903 0.291
```

---

# 4
The following is a SCAN calculation of a PBEsol-optimized structure of PrSmTl2, from the Alexandria database.

Summary:
Energy   -58.716 eV per atom
Calculated volume   27.99 Å³ per atom
Energy of formation   -57.4 kJ/mol of atoms
Total magnetic moment   0.0008 μB/atom

Structure (POSCAR):
```
PrSmTl2
1.0
5.410 0.000 0.000
2.705 4.685 0.000
2.705 1.562 4.417
Pr Tl Sm
1 2 1
Direct
0.500 0.500 0.500
0.250 0.250 0.250
0.750 0.750 0.750
0.000 0.000 0.000
```

---

# 5
The following is a SCAN calculation of a PBEsol-optimized structure of ZrAs2Br, from the Alexandria database.

Summary:
Energy   -23.120 eV per atom
Raw formation energy   -1.94 eV per formula unit
Calculated volume   26.21 Å³ per atom
Total magnetic moment   0.0000 μB/atom

Structure (POSCAR):
```
ZrAs2Br
1.0
-2.910 1.755 0.375
-1.623 -3.381 3.221
4.807 4.030 2.859
As Br Zr
2 1 1
Direct
0.093 0.093 0.186
0.739 0.239 0.479
0.498 0.498 0.996
0.170 0.670 0.340
```

---

# 6
The following is a SCAN calculation of a PBEsol-optimized structure of CaBr2, from the Alexandria database.

Summary:
Energy   -18.216 eV per atom
Raw formation energy   -6.07 eV per formula unit
Calculated volume   31.06 Å³ per atom
Total magnetic moment   0.0000 μB/atom

Structure (POSCAR):
```
CaBr2
1.0
3.615 0.000 0.000
0.000 3.615 0.000
-1.808 -1.808 14.256
Ca Br
2 4
Direct
0.250 0.750 0.500
0.000 0.000 0.000
0.809 0.309 0.617
0.441 0.441 0.883
0.691 0.191 0.383
0.559 0.559 0.117
```

---

# 7
The following is a SCAN calculation of a PBEsol-optimized structure of Lu2C, from the Alexandria database.

Summary:
Energy   -40.761 eV per atom
Calculated volume   20.11 Å³ per atom
Energy of formation   -48.1 kJ/mol of atoms
Total magnetic moment   0.0992 μB/atom

Structure (POSCAR):
```
Lu2C
1.0
-2.501 1.603 1.774
0.140 0.130 3.455
2.192 5.568 1.434
C Lu
1 2
Direct
0.500 0.500 0.500
0.759 0.759 0.723
0.241 0.241 0.277
```

---

# 8
The following is a SCAN calculation of a PBEsol-optimized structure of BaBeAs2, from the Alexandria database.

Summary:
Energy   -21.532 eV per atom
Calculated volume   25.40 Å³ per atom
Energy of formation   -44.5 kJ/mol of atoms
Total magnetic moment   0.0000 μB/atom

Structure (POSCAR):
```
BaBeAs2
1.0
-1.477 2.652 3.361
-4.096 -1.906 -0.296
1.362 -3.431 3.306
Be As Ba
1 2 1
Direct
0.500 0.868 0.024
0.000 0.881 0.992
0.500 0.370 0.992
0.000 0.380 0.492
```